First-principles (PBE) data for an optimized crystal structure of CoBCl3, as listed in Alexandria.

extended XYZ file:
```
5
Lattice="4.654 0.000 0.000 0.000 4.654 0.000 0.000 0.000 4.654" Properties=species:S:1:pos:R:3 pbc="T T T"
Co 0.000 0.000 0.000
B 2.327 2.327 2.327
Cl 0.000 0.000 2.327
Cl 0.000 2.327 0.000
Cl 2.327 0.000 0.000
```

Properties
Magnetization: 2.0 μB/cell
Final energy: -3.257 eV per atom
Calculated volume: 20.16 A^3/atom
Energy relative to the lowest polymorph listed for this composition: 0 meV per atom
Formation energy from raw total energies: 0.6073 eV/atom